ZnAgTe2 after structural relaxation, computed with GGA-PBE.

```
ZnAgTe2
1.0
3.572 -2.688 2.471
-1.217 -4.445 2.203
1.719 -4.385 -1.976
Te Ag Zn
2 1 1
Direct
0.250 0.250 0.250 Te
0.750 0.750 0.750 Te
0.500 0.500 0.500 Ag
0.000 0.000 0.000 Zn
```

V   23.6 A^3/atom
Space-group type   No. 225
E above lowest polymorph   440 meV per atom
Raw formation energy   0.261 eV/atom
Spin magnetization   0.000 μB per cell